{"formula": "CaNiSe2", "functional": "PBE", "state": "optimized geometry", "lattice": [[-5.7404, 0.0715, -2.9529], [-1.6728, -0.2394, 3.2460], [3.0038, 7.9013, 2.1307]], "species": ["Ni", "Ni", "Ca", "Ca", "Se", "Se", "Se", "Se"], "fractional_positions": [[0.0000, 0.5000, 0.0000], [0.0000, 0.0000, 0.5000], [0.5000, 0.0000, 0.5000], [0.5000, 0.5000, 0.0000], [0.2429, 0.0000, 0.1245], [0.7571, 0.0000, 0.8755], [0.2429, 0.5000, 0.6245], [0.7571, 0.5000, 0.3755]], "formation_energy_uncorrected_kcal_per_mol_atoms": -21.866, "volume_a3_per_atom": 23.50}